RbDyV2O6 | PBE with a Hubbard U | relaxed

Output
Mass density, Mg/m³: 4.6
VASP energy, Ry per atom: -0.544

Cell: 10.8477 10.1306 6.0780 Å, 90.00 104.23 90.00°
Closest atoms and distances in Å follow each position.
Space group C2/c (No. 15)
One atom of each set of equivalent atoms:
Rb1 0.0000 0.1802 0.2500 x4  8 O 2.91-3.06
Dy1 0.0000 0.4026 0.7500 x4  6 O 2.26-2.31
V1 0.2168 0.0897 0.8073 x8  4 O 1.76-1.87
O1 0.1095 0.4310 0.1193 x8  1 V 1.84
O2 0.1449 0.2451 0.7357 x8  1 V 1.76
O3 0.1639 0.0103 0.0422 x8  2 V 1.85-1.87